Entry from Alexandria: a geometry-optimized ZnCrAgF6 structure (GGA+U).

The structure belongs to space group P-31c (No. 163); the cell edges are 5.3888, 5.3888 and 10.3912 Å and the angles 90.00°, 90.00° and 120.00°. The inequivalent atoms are Zn at (0.3333, 0.6667, 0.2500), Cr at (0.3333, 0.6667, 0.7500), Ag at (0.0000, 0.0000, 0.0000) and F at (0.0165, 0.3774, 0.6470).

The value obtained for the density of states at the Fermi level is 0.00 states/eV/atom. The value obtained for the total energy is -4.7572 eV/atom.